Record 1
The following is a PBE calculation of crystalline Nd3HoTl4 at its relaxed geometry, from the Alexandria database.

Computed properties:
Crystal system: orthorhombic
Raw total energy: -3.784 eV/atom
N(E_F): 0.8219 states/eV/atom

Unit cell a=3.729 b=7.341 c=18.506 alpha=90.00 beta=90.00 gamma=90.00
Space group Immm (No. 71)
Unique sites:
Nd (0.000, 0.000, 0.000) (multiplicity 2)
Nd (0.000, 0.500, 0.216) (multiplicity 4)
Ho (0.000, 0.000, 0.500) (multiplicity 2)
Tl (0.000, 0.285, 0.374) (multiplicity 8)

Record 2
The following is a PBE calculation of crystalline NdHo4Tl7 at its relaxed geometry, from the Alexandria database.

Computed properties:
Crystal system: monoclinic
Raw total energy: -3.407 eV/atom
N(E_F): 0.6130 states/eV/atom

Unit cell a=13.373 b=5.754 c=11.439 alpha=90.00 beta=123.91 gamma=90.00
Space group C2/m (No. 12)
Unique sites:
Nd (0.000, 0.000, 0.000) (multiplicity 2)
Ho (0.086, 0.500, 0.783) (multiplicity 4)
Ho (0.220, 0.500, 0.329) (multiplicity 4)
Tl (0.000, 0.500, 0.000) (multiplicity 2)
Tl (0.079, 0.000, 0.330) (multiplicity 4)
Tl (0.135, 0.500, 0.546) (multiplicity 4)
Tl (0.215, 0.000, 0.895) (multiplicity 4)

Record 3
The following is a PBE calculation of crystalline Nd5Ho2Tl at its relaxed geometry, from the Alexandria database.

Computed properties:
Crystal system: orthorhombic
Raw total energy: -4.423 eV/atom
N(E_F): 1.3734 states/eV/atom

Unit cell a=3.500 b=11.382 c=13.114 alpha=90.00 beta=90.00 gamma=90.00
Space group Immm (No. 71)
Unique sites:
Nd (0.000, 0.000, 0.000) (multiplicity 2)
Nd (0.000, 0.266, 0.369) (multiplicity 8)
Ho (0.000, 0.000, 0.269) (multiplicity 4)
Tl (0.000, 0.500, 0.000) (multiplicity 2)

Record 4
The following is a PBE calculation of crystalline Nd8HoTl2 at its relaxed geometry, from the Alexandria database.

Computed properties:
Crystal system: monoclinic
Raw total energy: -4.344 eV/atom
N(E_F): 1.3532 states/eV/atom

Unit cell a=9.052 b=15.631 c=5.850 alpha=90.00 beta=115.54 gamma=90.00
Space group C2/m (No. 12)
Unique sites:
Nd (0.000, 0.219, 0.000) (multiplicity 4)
Nd (0.097, 0.500, 0.795) (multiplicity 4)
Nd (0.206, 0.113, 0.617) (multiplicity 8)
Ho (0.000, 0.000, 0.000) (multiplicity 2)
Tl (0.000, 0.306, 0.500) (multiplicity 4)

Record 5
The following is a PBE calculation of crystalline Nd5Ho2Tl at its relaxed geometry, from the Alexandria database.

Computed properties:
Crystal system: orthorhombic
Raw total energy: -4.467 eV/atom
N(E_F): 1.4684 states/eV/atom

Unit cell a=7.182 b=14.407 c=5.025 alpha=90.00 beta=90.00 gamma=90.00
Space group Pbam (No. 55)
Unique sites:
Nd (0.000, 0.000, 0.000) (multiplicity 2)
Nd (0.004, 0.261, 0.000) (multiplicity 4)
Nd (0.247, 0.127, 0.500) (multiplicity 4)
Ho (0.248, 0.878, 0.500) (multiplicity 4)
Tl (0.000, 0.500, 0.000) (multiplicity 2)

Record 6
The following is a PBE calculation of crystalline NdHo2Tl3 at its relaxed geometry, from the Alexandria database.

Computed properties:
Crystal system: tetragonal
Raw total energy: -3.858 eV/atom
N(E_F): 0.7039 states/eV/atom

Unit cell a=3.781 b=3.781 c=11.709 alpha=90.00 beta=90.00 gamma=90.00
Space group P4/mmm (No. 123)
Unique sites:
Nd (0.000, 0.000, 0.000) (multiplicity 1)
Ho (0.000, 0.000, 0.338) (multiplicity 2)
Tl (0.500, 0.500, 0.178) (multiplicity 2)
Tl (0.500, 0.500, 0.500) (multiplicity 1)

Record 7
The following is a PBE calculation of crystalline NdHo3Tl at its relaxed geometry, from the Alexandria database.

Computed properties:
Crystal system: monoclinic
Raw total energy: -4.219 eV/atom
N(E_F): 1.2085 states/eV/atom

Unit cell a=14.647 b=13.217 c=6.535 alpha=90.00 beta=104.04 gamma=90.00
Space group C2/c (No. 15)
Unique sites:
Nd (0.105, 0.067, 0.474) (multiplicity 8)
Ho (0.100, 0.193, 0.979) (multiplicity 8)
Ho (0.188, 0.314, 0.636) (multiplicity 8)
Ho (0.194, 0.427, 0.138) (multiplicity 8)
Tl (0.000, 0.335, 0.250) (multiplicity 4)
Tl (0.000, 0.416, 0.750) (multiplicity 4)

Record 8
The following is a PBE calculation of crystalline Nd3Ho2Tl4 at its relaxed geometry, from the Alexandria database.

Computed properties:
Crystal system: orthorhombic
Raw total energy: -3.835 eV/atom
N(E_F): 0.6951 states/eV/atom

Unit cell a=7.363 b=15.520 c=9.998 alpha=90.00 beta=90.00 gamma=90.00
Space group Cmce (No. 64)
Unique sites:
Nd (0.000, 0.000, 0.000) (multiplicity 4)
Nd (0.250, 0.217, 0.250) (multiplicity 8)
Ho (0.000, 0.104, 0.550) (multiplicity 8)
Tl (0.000, 0.199, 0.979) (multiplicity 8)
Tl (0.250, 0.005, 0.250) (multiplicity 8)

Record 9
The following is a PBE calculation of crystalline Nd4Ho15Tl at its relaxed geometry, from the Alexandria database.

Computed properties:
Crystal system: tetragonal
Raw total energy: -4.516 eV/atom
N(E_F): 1.1928 states/eV/atom

Unit cell a=4.981 b=4.981 c=25.218 alpha=90.00 beta=90.00 gamma=90.00
Space group P4/mmm (No. 123)
Unique sites:
Nd (0.000, 0.000, 0.101) (multiplicity 2)
Nd (0.000, 0.000, 0.302) (multiplicity 2)
Ho (0.000, 0.500, 0.000) (multiplicity 2)
Ho (0.000, 0.500, 0.202) (multiplicity 4)
Ho (0.000, 0.500, 0.404) (multiplicity 4)
Ho (0.500, 0.500, 0.102) (multiplicity 2)
Ho (0.500, 0.500, 0.306) (multiplicity 2)
Ho (0.500, 0.500, 0.500) (multiplicity 1)
Tl (0.000, 0.000, 0.500) (multiplicity 1)

Record 10
The following is a PBE calculation of crystalline Nd4Ho7Tl at its relaxed geometry, from the Alexandria database.

Computed properties:
Crystal system: monoclinic
Raw total energy: -4.299 eV/atom
N(E_F): 1.4707 states/eV/atom

Unit cell a=11.328 b=5.566 c=13.241 alpha=90.00 beta=102.92 gamma=90.00
Space group C2/m (No. 12)
Unique sites:
Nd (0.047, 0.000, 0.276) (multiplicity 4)
Nd (0.167, 0.500, 0.777) (multiplicity 4)
Ho (0.000, 0.500, 0.500) (multiplicity 2)
Ho (0.094, 0.500, 0.122) (multiplicity 4)
Ho (0.140, 0.000, 0.968) (multiplicity 4)
Ho (0.240, 0.500, 0.381) (multiplicity 4)
Tl (0.000, 0.000, 0.500) (multiplicity 2)

Record 11
The following is a PBE calculation of crystalline Nd7Ho2Tl2 at its relaxed geometry, from the Alexandria database.

Computed properties:
Crystal system: orthorhombic
Raw total energy: -4.324 eV/atom
N(E_F): 1.4786 states/eV/atom

Unit cell a=3.699 b=20.564 c=9.910 alpha=90.00 beta=90.00 gamma=90.00
Space group Imm2 (No. 44)
Unique sites:
Nd (0.000, 0.000, 0.000) (multiplicity 2)
Nd (0.000, 0.129, 0.541) (multiplicity 4)
Nd (0.000, 0.339, 0.344) (multiplicity 4)
Nd (0.000, 0.368, 0.716) (multiplicity 4)
Ho (0.000, 0.000, 0.351) (multiplicity 2)
Ho (0.000, 0.500, 0.176) (multiplicity 2)
Tl (0.000, 0.244, 0.060) (multiplicity 4)

Record 12
The following is a PBE calculation of crystalline NdHo6Tl6 at its relaxed geometry, from the Alexandria database.

Computed properties:
Crystal system: hexagonal
Raw total energy: -3.761 eV/atom
N(E_F): 0.8872 states/eV/atom

Unit cell a=6.4199 b=6.4199 c=10.5317 alpha=90.00 beta=90.00 gamma=120.00
Space group P6/mmm (No. 191)
Unique sites:
Nd (0.0000, 0.0000, 0.0000) (multiplicity 1)
Ho (0.0000, 0.0000, 0.3377) (multiplicity 2)
Ho (0.3333, 0.6667, 0.0000) (multiplicity 2)
Ho (0.3333, 0.6667, 0.5000) (multiplicity 2)
Tl (0.0000, 0.5000, 0.2460) (multiplicity 6)

Record 13
The following is a PBE calculation of crystalline Nd2Ho2Tl at its relaxed geometry, from the Alexandria database.

Computed properties:
Crystal system: hexagonal
Raw total energy: -4.211 eV/atom
N(E_F): 1.5878 states/eV/atom

Unit cell a=5.4878 b=5.4878 c=12.2360 alpha=90.00 beta=90.00 gamma=120.00
Space group P6_3/mmc (No. 194)
Unique sites:
Nd (0.3333, 0.6667, 0.0862) (multiplicity 4)
Ho (0.0000, 0.0000, 0.0000) (multiplicity 2)
Ho (0.3333, 0.6667, 0.7500) (multiplicity 2)
Tl (0.0000, 0.0000, 0.2500) (multiplicity 2)

Record 14
The following is a PBE calculation of crystalline NdHo2Tl at its relaxed geometry, from the Alexandria database.

Computed properties:
Crystal system: trigonal
Raw total energy: -4.171 eV/atom
N(E_F): 1.3946 states/eV/atom

Unit cell a=3.6562 b=3.6562 c=32.3589 alpha=90.00 beta=90.00 gamma=120.00
Space group R3m (No. 160, hexagonal axes)
Unique sites:
Nd (0.0000, 0.0000, 0.0000) (multiplicity 3)
Ho (0.0000, 0.0000, 0.2427) (multiplicity 3)
Ho (0.0000, 0.0000, 0.4236) (multiplicity 3)
Tl (0.0000, 0.0000, 0.8333) (multiplicity 3)

Record 15
The following is a PBE calculation of crystalline Nd3Ho2Tl2 at its relaxed geometry, from the Alexandria database.

Computed properties:
Crystal system: orthorhombic
Raw total energy: -4.132 eV/atom
N(E_F): 1.1323 states/eV/atom

Unit cell a=5.028 b=23.998 c=3.567 alpha=90.00 beta=90.00 gamma=90.00
Space group Cmmm (No. 65)
Unique sites:
Nd (0.000, 0.000, 0.000) (multiplicity 2)
Nd (0.000, 0.145, 0.000) (multiplicity 4)
Ho (0.000, 0.287, 0.500) (multiplicity 4)
Tl (0.000, 0.427, 0.500) (multiplicity 4)

Record 16
The following is a PBE calculation of crystalline Nd4HoTl5 at its relaxed geometry, from the Alexandria database.

Computed properties:
Crystal system: tetragonal
Raw total energy: -3.928 eV/atom
N(E_F): 0.8253 states/eV/atom

Unit cell a=3.831 b=3.831 c=19.909 alpha=90.00 beta=90.00 gamma=90.00
Space group P4/mmm (No. 123)
Unique sites:
Nd (0.000, 0.000, 0.102) (multiplicity 2)
Nd (0.000, 0.000, 0.306) (multiplicity 2)
Ho (0.000, 0.000, 0.500) (multiplicity 1)
Tl (0.500, 0.500, 0.000) (multiplicity 1)
Tl (0.500, 0.500, 0.204) (multiplicity 2)
Tl (0.500, 0.500, 0.408) (multiplicity 2)

Record 17
The following is a PBE calculation of crystalline Nd4Ho2Tl at its relaxed geometry, from the Alexandria database.

Computed properties:
Crystal system: orthorhombic
Raw total energy: -3.958 eV/atom
N(E_F): 1.2953 states/eV/atom

Unit cell a=6.231 b=12.582 c=6.118 alpha=90.00 beta=90.00 gamma=90.00
Space group Cmmm (No. 65)
Unique sites:
Nd (0.000, 0.134, 0.000) (multiplicity 4)
Nd (0.000, 0.333, 0.500) (multiplicity 4)
Ho (0.000, 0.382, 0.000) (multiplicity 4)
Tl (0.000, 0.000, 0.500) (multiplicity 2)

Record 18
The following is a PBE calculation of crystalline Nd5Ho6Tl at its relaxed geometry, from the Alexandria database.

Computed properties:
Crystal system: orthorhombic
Raw total energy: -4.496 eV/atom
N(E_F): 1.3333 states/eV/atom

Unit cell a=5.019 b=10.091 c=15.111 alpha=90.00 beta=90.00 gamma=90.00
Space group Immm (No. 71)
Unique sites:
Nd (0.000, 0.000, 0.000) (multiplicity 2)
Nd (0.000, 0.000, 0.332) (multiplicity 4)
Nd (0.000, 0.500, 0.337) (multiplicity 4)
Ho (0.000, 0.245, 0.500) (multiplicity 4)
Ho (0.000, 0.254, 0.165) (multiplicity 8)
Tl (0.000, 0.500, 0.000) (multiplicity 2)

Record 19
The following is a PBE calculation of crystalline NdHo3Tl at its relaxed geometry, from the Alexandria database.

Computed properties:
Crystal system: orthorhombic
Raw total energy: -4.287 eV/atom
N(E_F): 1.3520 states/eV/atom

Unit cell a=4.868 b=25.461 c=4.828 alpha=90.00 beta=90.00 gamma=90.00
Space group Cmcm (No. 63)
Unique sites:
Nd (0.000, 0.148, 0.250) (multiplicity 4)
Ho (0.000, 0.046, 0.750) (multiplicity 4)
Ho (0.000, 0.251, 0.750) (multiplicity 4)
Ho (0.000, 0.449, 0.750) (multiplicity 4)
Tl (0.000, 0.346, 0.250) (multiplicity 4)

Record 20
The following is a PBE calculation of crystalline Nd2Ho7Tl2 at its relaxed geometry, from the Alexandria database.

Computed properties:
Crystal system: monoclinic
Raw total energy: -4.186 eV/atom
N(E_F): 1.2381 states/eV/atom

Unit cell a=8.949 b=9.556 c=8.322 alpha=90.00 beta=104.97 gamma=90.00
Space group C2/m (No. 12)
Unique sites:
Nd (0.000, 0.181, 0.000) (multiplicity 4)
Ho (0.000, 0.000, 0.500) (multiplicity 2)
Ho (0.179, 0.298, 0.670) (multiplicity 8)
Ho (0.192, 0.500, 0.025) (multiplicity 4)
Tl (0.117, 0.500, 0.353) (multiplicity 4)